Record 1
Here is an optimized crystal structure of InBSe2 from Alexandria. Energies are from PBE.

Cell lengths 7.1257, 7.1257, 7.1257 Å; angles 43.39, 43.39, 43.39 degrees
Positions (direct):
1 In 0.5000 0.5000 0.5000
2 Se 0.9059 0.9059 0.9059
3 B 0.0000 0.0000 0.0000
4 Se 0.0941 0.0941 0.0941

Results
Energy relative to the lowest polymorph listed for this composition = 0.529 kcal/mol of atoms
Energy relative to the elements, uncorrected = -0.1 eV per formula unit

***

Record 2
Here is an optimized crystal structure of Cr2ReNi from Alexandria. Energies are from PBE.

Cell lengths 2.5486, 2.5486, 8.0244 Å; angles 90.00, 90.00, 106.92 degrees
Positions (direct):
1 Re 0.5000 0.5000 0.7486
2 Ni 0.0000 0.0000 0.4879
3 Cr 0.5000 0.5000 0.2507
4 Cr 0.0000 0.0000 0.0128

Results
Total DFT energy (no corrections) = -37.0 eV/cell

***

Record 3
Here is an optimized crystal structure of Ac3Ge2Br3 from Alexandria. Energies are from PBE.

Cell lengths 6.2868, 9.4562, 9.4562 Å; angles 120.00, 90.00, 90.00 degrees
Positions (direct):
1 Ac 0.2500 0.0000 0.3802
2 Ac 0.7500 0.0000 0.6198
3 Br 0.7500 0.2434 0.0000
4 Ge 0.0000 0.6667 0.3333
5 Ac 0.2500 0.6198 0.6198
6 Br 0.7500 0.0000 0.2434
7 Ge 0.0000 0.3333 0.6667
8 Br 0.2500 0.0000 0.7566
9 Ge 0.5000 0.3333 0.6667
10 Br 0.2500 0.7566 0.0000
11 Ac 0.2500 0.3802 0.0000
12 Br 0.7500 0.7566 0.7566
13 Ge 0.5000 0.6667 0.3333
14 Br 0.2500 0.2434 0.2434
15 Ac 0.7500 0.6198 0.0000
16 Ac 0.7500 0.3802 0.3802

Results
Energy relative to the elements, uncorrected = -10.5 eV per formula unit

***

Record 4
Here is an optimized crystal structure of KSrBiF6 from Alexandria. Energies are from PBE.

Cell lengths 6.4910, 6.4910, 10.1293 Å; angles 90.00, 90.00, 120.00 degrees
Positions (direct):
1 F 0.3534 0.9820 0.6367
2 K 0.0000 0.0000 0.5000
3 F 0.6466 0.6286 0.1367
4 F 0.9820 0.3534 0.1367
5 Bi 0.3333 0.6667 0.7500
6 F 0.6286 0.6466 0.6367
7 Bi 0.6667 0.3333 0.2500
8 F 0.3534 0.3714 0.8633
9 F 0.9820 0.6286 0.3633
10 Sr 0.6667 0.3333 0.7500
11 K 0.0000 0.0000 0.0000
12 F 0.6286 0.9820 0.8633
13 F 0.0180 0.3714 0.6367
14 F 0.3714 0.3534 0.3633
15 F 0.0180 0.6466 0.8633
16 Sr 0.3333 0.6667 0.2500
17 F 0.6466 0.0180 0.3633
18 F 0.3714 0.0180 0.1367

Results
Energy relative to the elements, uncorrected = -27.0 eV per formula unit